# Ba2CeW3O12 (PBE with a Hubbard U, optimized geometry)
data_Ba2CeW3O12
_chemical_formula_sum 'Ba6 Ce3 W9 O36'
_space_group_name_H-M_alt 'R -3 m'
_space_group_IT_number 166
_space_group_name_Hall '-R 3 2"'
_cell_length_a 7.5579
_cell_length_b 7.5579
_cell_length_c 16.9428
_cell_angle_alpha 90.00
_cell_angle_beta 90.00
_cell_angle_gamma 120.00
loop_
_atom_site_label
_atom_site_fract_x
_atom_site_fract_y
_atom_site_fract_z
Ba1 0.0000 0.0000 0.1240
Ce1 0.0000 0.0000 0.5000
W1 0.0000 0.5000 0.0000
O1 0.0131 0.5065 0.8860
O2 0.0823 0.5411 0.3252
# DOS(E_F) (states/eV/f.u.): 3.391
# Electronic total energy (eV/cell): -404.672